1.
# Y4Hf3As4, optimized geometry, DFT PBE-GGA
data_Y4Hf3As4
_symmetry_space_group_name_H-M 'P 1 m 1'
_symmetry_Int_Tables_number 6
_cell_length_a 7.391
_cell_length_b 3.870
_cell_length_c 8.969
_cell_angle_alpha 90.00
_cell_angle_beta 97.70
_cell_angle_gamma 90.00
loop_
_symmetry_equiv_pos_as_xyz
'x,y,z'
'x,-y,z'
loop_
_atom_site_label
_atom_site_type_symbol
_atom_site_fract_x
_atom_site_fract_y
_atom_site_fract_z
Y1 Y 0.000 0.000 0.000
Y2 Y 0.067 0.500 0.445
Y3 Y 0.444 0.000 0.596
Y4 Y 0.739 0.500 0.144
Hf1 Hf 0.316 0.500 0.872
Hf2 Hf 0.440 0.000 0.231
Hf3 Hf 0.785 0.500 0.748
As1 As 0.077 0.000 0.699
As2 As 0.203 0.500 0.157
As3 As 0.594 0.000 0.916
As4 As 0.649 0.500 0.440
# E_tot (eV per atom): -7.43

***

2.
# YHfAs, optimized geometry, DFT PBE-GGA
data_YHfAs
_symmetry_space_group_name_H-M 'F -4 3 m'
_symmetry_Int_Tables_number 216
_symmetry_space_group_name_Hall 'F -4 2 3'
_cell_length_a 6.564
_cell_length_b 6.564
_cell_length_c 6.564
_cell_angle_alpha 90.00
_cell_angle_beta 90.00
_cell_angle_gamma 90.00
loop_
_atom_site_label
_atom_site_type_symbol
_atom_site_fract_x
_atom_site_fract_y
_atom_site_fract_z
Y1 Y 0.000 0.000 0.000
Hf1 Hf 0.000 0.000 0.500
As1 As 0.250 0.250 0.750
# E above lowest polymorph (eV/atom): 0.000